No. 1
First-principles (PBE-GGA) data for a relaxed BaLiHg2 crystal, as listed in Alexandria via LeMat-Bulk.

Its energy relative to the elements is -0.248 eV per atom. For the density of states at the Fermi level, the calculation gives 1.65 states/eV/atom.

It has space group I-42d (No. 122), with a = 5.553 Å, b = 5.553 Å, c = 18.278 Å, α = 90.00°, β = 90.00° and γ = 90.00°. The asymmetric unit holds Ba at (0.000, 0.000, 0.000), Li at (0.000, 0.000, 0.500) and Hg at (0.086, 0.250, 0.625).

***

No. 2
First-principles (PBE-GGA) data for a relaxed Ac2IrPb crystal, as listed in Alexandria via LeMat-Bulk.

Its energy relative to the elements is -0.521 eV per atom. For the density of states at the Fermi level, the calculation gives 0.31 states/eV/atom.

It has space group P4/mmm (No. 123), with a = 3.764 Å, b = 3.764 Å, c = 8.676 Å, α = 90.00°, β = 90.00° and γ = 90.00°. The asymmetric unit holds Ac at (0.000, 0.000, 0.205), Ir at (0.500, 0.500, 0.000) and Pb at (0.500, 0.500, 0.500).

***

No. 3
First-principles (PBE-GGA) data for a relaxed HoCu5Pt7 crystal, as listed in Alexandria via LeMat-Bulk.

Its energy relative to the elements is -0.357 eV per atom. For the density of states at the Fermi level, the calculation gives 0.67 states/eV/atom.

It has space group Imm2 (No. 44), with a = 5.027 Å, b = 8.806 Å, c = 8.912 Å, α = 90.00°, β = 90.00° and γ = 90.00°. The asymmetric unit holds Ho at (0.000, 0.000, 0.000), Cu at (0.000, 0.500, 0.273), Cu at (0.249, 0.255, 0.248), Pt at (0.000, 0.000, 0.345), Pt at (0.000, 0.000, 0.655), Pt at (0.000, 0.289, 0.496), Pt at (0.000, 0.343, 0.999) and Pt at (0.000, 0.500, 0.721).

***

Number 1: E -1.358 eV per atom. Number 2: E -5.717 eV per atom. Number 3: E -5.538 eV per atom.